The following is a DFT calculation (PBE+U) of an optimized crystal structure of Sr2V3O9.

final energy: -7.388 eV/atom
spin magnetization: 0.071 μB per atom
symmetry: P1, No. 1
excess energy over the best structure of this formula in the dataset: 0 meV/atom

abc: 7.0852 7.3836 9.0874
angles: 103.47 102.19 116.12
Sites, in units of the cell vectors:
O 0.9245 0.1466 0.9619
O 0.7381 0.7107 0.1930
O 0.0456 0.5209 0.8055
O 0.0761 0.8545 0.0358
O 0.2895 0.2810 0.2758
V 0.4956 0.5231 0.4914
O 0.8284 0.1093 0.5542
O 0.9586 0.4805 0.1965
V 0.0906 0.3410 0.6807
V 0.6697 0.9222 0.8428
O 0.7776 0.5597 0.4495
O 0.5082 0.0015 0.7229
O 0.1698 0.8923 0.4491
O 0.5412 0.8201 0.9666
O 0.2176 0.4381 0.5472
V 0.9103 0.6590 0.3194
O 0.4885 0.0001 0.2792
Sr 0.2993 0.5525 0.0993
O 0.4695 0.7154 0.4281
O 0.2638 0.2885 0.8052
V 0.3297 0.0802 0.1571
O 0.7052 0.7187 0.7218
V 0.5041 0.0316 0.5085
Sr 0.6999 0.4529 0.9006
O 0.4620 0.1830 0.0355
O 0.5417 0.2871 0.5721
Sr 0.1209 0.8755 0.7495
Sr 0.8753 0.1229 0.2505